Compound: BeCuMoIr
Source: the Open Quantum Materials Database
Functional: PBE
Structure: relaxed

Properties
**Size of the total moment**: 0.00 μB per cell
**Crystal system**: cubic
**Offset from the most stable computed form**: 0.0 meV per atom

Lattice parameters (Å, degrees): 4.1992 4.1992 4.1992 60.00 60.00 60.00
Last column: nearest neighbours and their distance in Å.
Fractional positions:
Be 0.7500 0.7500 0.7500  4 Cu 2.57, 4 Ir 2.57
Cu 0.0000 0.0000 0.0000  4 Be 2.57, 4 Mo 2.57
Mo 0.2500 0.2500 0.2500  4 Ir 2.57, 4 Cu 2.57
Ir 0.5000 0.5000 0.5000  4 Mo 2.57, 4 Be 2.57